Model w:
# IrRuBr2

A relaxed IrRuBr2 crystal (GGA-PBEsol, Alexandria via LeMat-Bulk).

Geometry as CIF:
```
data_IrRuBr2
_chemical_formula_sum 'Ir2 Ru2 Br4'
_space_group_name_H-M_alt 'C 1 2/m 1'
_space_group_IT_number 12
_space_group_name_Hall '-C 2y'
_cell_length_a 12.180
_cell_length_b 2.998
_cell_length_c 4.631
_cell_angle_alpha 90.00
_cell_angle_beta 97.30
_cell_angle_gamma 90.00
loop_
_atom_site_label
_atom_site_fract_x
_atom_site_fract_y
_atom_site_fract_z
Ir1 0.000 0.000 0.000
Ru1 0.000 0.500 0.500
Br1 0.152 0.000 0.718
```

Model x:
# IrRuBr2

A relaxed IrRuBr2 crystal (GGA-PBEsol, Alexandria via LeMat-Bulk).

Geometry as CIF:
```
data_IrRuBr2
_chemical_formula_sum 'Ir1 Ru1 Br2'
_space_group_name_H-M_alt 'P 1 2/m 1'
_space_group_IT_number 10
_space_group_name_Hall '-P 2y'
_cell_length_a 3.046
_cell_length_b 4.327
_cell_length_c 5.134
_cell_angle_alpha 90.00
_cell_angle_beta 93.70
_cell_angle_gamma 90.00
loop_
_atom_site_label
_atom_site_fract_x
_atom_site_fract_y
_atom_site_fract_z
Ir1 0.000 0.000 0.000
Ru1 0.500 0.000 0.500
Br1 0.259 0.500 0.252
```

Relative energies with respect to the most stable structure, expressed in meV/atom: model w 0; model x 427.

Model w:
# Sb2IrBr

A relaxed Sb2IrBr crystal (GGA-PBEsol, Alexandria via LeMat-Bulk).

Geometry as CIF:
```
data_Sb2IrBr
_chemical_formula_sum 'Sb4 Ir2 Br2'
_space_group_name_H-M_alt 'C 1 m 1'
_space_group_IT_number 8
_space_group_name_Hall 'C -2y'
_cell_length_a 16.962
_cell_length_b 3.718
_cell_length_c 3.182
_cell_angle_alpha 90.00
_cell_angle_beta 100.73
_cell_angle_gamma 90.00
loop_
_atom_site_label
_atom_site_fract_x
_atom_site_fract_y
_atom_site_fract_z
Sb1 0.000 0.000 0.000
Sb2 0.185 0.000 0.683
Ir1 0.068 0.500 0.567
Br1 0.343 0.500 0.844
```

Model x:
# Sb2IrBr

A relaxed Sb2IrBr crystal (GGA-PBEsol, Alexandria via LeMat-Bulk).

Geometry as CIF:
```
data_Sb2IrBr
_chemical_formula_sum 'Sb2 Ir1 Br1'
_space_group_name_H-M_alt 'P 4/m m m'
_space_group_IT_number 123
_space_group_name_Hall '-P 4 2'
_cell_length_a 5.120
_cell_length_b 5.120
_cell_length_c 3.129
_cell_angle_alpha 90.00
_cell_angle_beta 90.00
_cell_angle_gamma 90.00
loop_
_atom_site_label
_atom_site_fract_x
_atom_site_fract_y
_atom_site_fract_z
Sb1 0.000 0.500 0.000
Ir1 0.000 0.000 0.500
Br1 0.500 0.500 0.500
```

Relative energies with respect to the most stable structure, expressed in meV/atom: model w 0; model x 467.

Model w:
# Sb2IrBr

A relaxed Sb2IrBr crystal (GGA-PBEsol, Alexandria via LeMat-Bulk).

Geometry as CIF:
```
data_Sb2IrBr
_chemical_formula_sum 'Sb4 Ir2 Br2'
_space_group_name_H-M_alt 'I 4/m m m'
_space_group_IT_number 139
_space_group_name_Hall '-I 4 2'
_cell_length_a 4.828
_cell_length_b 4.828
_cell_length_c 6.955
_cell_angle_alpha 90.00
_cell_angle_beta 90.00
_cell_angle_gamma 90.00
loop_
_atom_site_label
_atom_site_fract_x
_atom_site_fract_y
_atom_site_fract_z
Sb1 0.000 0.500 0.250
Ir1 0.000 0.000 0.000
Br1 0.000 0.000 0.500
```

Model x:
# Sb2IrBr

A relaxed Sb2IrBr crystal (GGA-PBEsol, Alexandria via LeMat-Bulk).

Geometry as CIF:
```
data_Sb2IrBr
_chemical_formula_sum 'Sb2 Ir1 Br1'
_space_group_name_H-M_alt 'P m m m'
_space_group_IT_number 47
_space_group_name_Hall '-P 2 2'
_cell_length_a 3.220
_cell_length_b 4.792
_cell_length_c 5.475
_cell_angle_alpha 90.00
_cell_angle_beta 90.00
_cell_angle_gamma 90.00
loop_
_atom_site_label
_atom_site_fract_x
_atom_site_fract_y
_atom_site_fract_z
Sb1 0.000 0.000 0.000
Sb2 0.500 0.000 0.500
Ir1 0.000 0.500 0.500
Br1 0.500 0.500 0.000
```

Relative energies with respect to the most stable structure, expressed in meV/atom: model w 0; model x 288.

Model w:
# Sc2IrBr

A relaxed Sc2IrBr crystal (GGA-PBEsol, Alexandria via LeMat-Bulk).

Geometry as CIF:
```
data_Sc2IrBr
_chemical_formula_sum 'Sc4 Ir2 Br2'
_space_group_name_H-M_alt 'I -4 m 2'
_space_group_IT_number 119
_space_group_name_Hall 'I -4 -2'
_cell_length_a 3.767
_cell_length_b 3.767
_cell_length_c 10.297
_cell_angle_alpha 90.00
_cell_angle_beta 90.00
_cell_angle_gamma 90.00
loop_
_atom_site_label
_atom_site_fract_x
_atom_site_fract_y
_atom_site_fract_z
Sc1 0.000 0.000 0.000
Sc2 0.000 0.500 0.250
Ir1 0.000 0.500 0.750
Br1 0.000 0.000 0.500
```

Model x:
# Sc2IrBr

A relaxed Sc2IrBr crystal (GGA-PBEsol, Alexandria via LeMat-Bulk).

Geometry as CIF:
```
data_Sc2IrBr
_chemical_formula_sum 'Sc2 Ir1 Br1'
_space_group_name_H-M_alt 'P m m m'
_space_group_IT_number 47
_space_group_name_Hall '-P 2 2'
_cell_length_a 3.117
_cell_length_b 3.223
_cell_length_c 7.691
_cell_angle_alpha 90.00
_cell_angle_beta 90.00
_cell_angle_gamma 90.00
loop_
_atom_site_label
_atom_site_fract_x
_atom_site_fract_y
_atom_site_fract_z
Sc1 0.000 0.000 0.209
Ir1 0.500 0.500 0.000
Br1 0.500 0.500 0.500
```

Relative energies with respect to the most stable structure, expressed in meV/atom: model w 374; model x 0.

Model w:
# Ir2SeBr

A relaxed Ir2SeBr crystal (GGA-PBEsol, Alexandria via LeMat-Bulk).

Geometry as CIF:
```
data_Ir2SeBr
_chemical_formula_sum 'Ir2 Se1 Br1'
_space_group_name_H-M_alt 'P m m m'
_space_group_IT_number 47
_space_group_name_Hall '-P 2 2'
_cell_length_a 2.849
_cell_length_b 4.442
_cell_length_c 5.143
_cell_angle_alpha 90.00
_cell_angle_beta 90.00
_cell_angle_gamma 90.00
loop_
_atom_site_label
_atom_site_fract_x
_atom_site_fract_y
_atom_site_fract_z
Ir1 0.000 0.000 0.000
Ir2 0.500 0.000 0.500
Se1 0.000 0.500 0.500
Br1 0.500 0.500 0.000
```

Model x:
# Ir2SeBr

A relaxed Ir2SeBr crystal (GGA-PBEsol, Alexandria via LeMat-Bulk).

Geometry as CIF:
```
data_Ir2SeBr
_chemical_formula_sum 'Ir2 Se1 Br1'
_space_group_name_H-M_alt 'P m m m'
_space_group_IT_number 47
_space_group_name_Hall '-P 2 2'
_cell_length_a 2.796
_cell_length_b 4.101
_cell_length_c 6.161
_cell_angle_alpha 90.00
_cell_angle_beta 90.00
_cell_angle_gamma 90.00
loop_
_atom_site_label
_atom_site_fract_x
_atom_site_fract_y
_atom_site_fract_z
Ir1 0.000 0.000 0.220
Se1 0.000 0.500 0.000
Br1 0.000 0.500 0.500
```

Model y:
# Ir2SeBr

A relaxed Ir2SeBr crystal (GGA-PBEsol, Alexandria via LeMat-Bulk).

Geometry as CIF:
```
data_Ir2SeBr
_chemical_formula_sum 'Ir4 Se2 Br2'
_space_group_name_H-M_alt 'C m m 2'
_space_group_IT_number 35
_space_group_name_Hall 'C 2 -2'
_cell_length_a 2.800
_cell_length_b 5.118
_cell_length_c 9.786
_cell_angle_alpha 90.00
_cell_angle_beta 90.00
_cell_angle_gamma 90.00
loop_
_atom_site_label
_atom_site_fract_x
_atom_site_fract_y
_atom_site_fract_z
Ir1 0.000 0.000 0.000
Ir2 0.000 0.500 0.226
Se1 0.000 0.000 0.444
Br1 0.000 0.500 0.773
```

Model z:
# Ir2SeBr

A relaxed Ir2SeBr crystal (GGA-PBEsol, Alexandria via LeMat-Bulk).

Geometry as CIF:
```
data_Ir2SeBr
_chemical_formula_sum 'Ir4 Se2 Br2'
_space_group_name_H-M_alt 'I -4 m 2'
_space_group_IT_number 119
_space_group_name_Hall 'I -4 -2'
_cell_length_a 3.800
_cell_length_b 3.800
_cell_length_c 8.923
_cell_angle_alpha 90.00
_cell_angle_beta 90.00
_cell_angle_gamma 90.00
loop_
_atom_site_label
_atom_site_fract_x
_atom_site_fract_y
_atom_site_fract_z
Ir1 0.000 0.000 0.000
Ir2 0.000 0.500 0.250
Se1 0.000 0.000 0.500
Br1 0.000 0.500 0.750
```

Relative energies with respect to the most stable structure, expressed in meV/atom: model w 290; model x 113; model y 0; model z 412.

Model w:
# ZnIrSe2Br

A relaxed ZnIrSe2Br crystal (GGA-PBEsol, Alexandria via LeMat-Bulk).

Geometry as CIF:
```
data_ZnIrSe2Br
_chemical_formula_sum 'Zn1 Ir1 Se2 Br1'
_space_group_name_H-M_alt 'P 4/m m m'
_space_group_IT_number 123
_space_group_name_Hall '-P 4 2'
_cell_length_a 4.755
_cell_length_b 4.755
_cell_length_c 4.737
_cell_angle_alpha 90.00
_cell_angle_beta 90.00
_cell_angle_gamma 90.00
loop_
_atom_site_label
_atom_site_fract_x
_atom_site_fract_y
_atom_site_fract_z
Zn1 0.000 0.000 0.000
Ir1 0.500 0.500 0.500
Se1 0.000 0.500 0.000
Br1 0.000 0.000 0.500
```

Model x:
# ZnIrSe2Br

A relaxed ZnIrSe2Br crystal (GGA-PBEsol, Alexandria via LeMat-Bulk).

Geometry as CIF:
```
data_ZnIrSe2Br
_chemical_formula_sum 'Zn1 Ir1 Se2 Br1'
_space_group_name_H-M_alt 'P 4/m m m'
_space_group_IT_number 123
_space_group_name_Hall '-P 4 2'
_cell_length_a 4.795
_cell_length_b 4.795
_cell_length_c 5.187
_cell_angle_alpha 90.00
_cell_angle_beta 90.00
_cell_angle_gamma 90.00
loop_
_atom_site_label
_atom_site_fract_x
_atom_site_fract_y
_atom_site_fract_z
Zn1 0.000 0.000 0.000
Ir1 0.500 0.500 0.500
Se1 0.000 0.500 0.500
Br1 0.500 0.500 0.000
```

Relative energies with respect to the most stable structure, expressed in meV/atom: model w 701; model x 0.